Here is a relaxed structure of Er2Se from the Open Quantum Materials Database. Energies are from GGA-PBE.

The value obtained for the total energy is -4.20 eV/atom. The space group is Fd-3m (227).

Cell: 6.1889 6.1889 6.1889 Å, 60.00 60.00 60.00°
With the nearest neighbours (Å) after each atom.
Sites, in units of the cell vectors:
Er 0.6250 0.6250 0.1250  6 Er 3.09
Er 0.6250 0.1250 0.6250  6 Er 3.09
Er 0.1250 0.6250 0.6250  6 Er 3.09
Er 0.6250 0.6250 0.6250  6 Er 3.09
Se 0.0000 0.0000 0.0000  12 Er 3.63, 4 Se 3.79
Se 0.2500 0.2500 0.2500  12 Er 3.63, 4 Se 3.79

---

Here is a relaxed structure of LuCoCuSb from the Open Quantum Materials Database. Energies are from GGA-PBE.

Its energy above the most stable polymorph in this dataset is 74 kJ/mol of formula units. The space group is F-43m (216).

Cell: 4.6115 4.6115 4.6115 Å, 60.00 60.00 60.00°
With the nearest neighbours (Å) after each atom.
Sites, in units of the cell vectors:
Co 0.7500 0.7500 0.7500  4 Cu 2.82, 4 Sb 2.82
Cu 0.5000 0.5000 0.5000  4 Lu 2.82, 4 Co 2.82
Lu 0.2500 0.2500 0.2500  4 Cu 2.82, 4 Sb 2.82
Sb 0.0000 0.0000 0.0000  4 Co 2.82, 4 Lu 2.82

---

Here is a relaxed structure of AcMoIr from the Open Quantum Materials Database. Energies are from GGA-PBE.

The space group is F-43m (216). The calculated formation energy is 0.61 eV/atom.

Cell: 4.6285 4.6285 4.6285 Å, 60.00 60.00 60.00°
With the nearest neighbours (Å) after each atom.
Sites, in units of the cell vectors:
Ac 0.2500 0.2500 0.2500  4 Mo 2.83
Ir 0.7500 0.7500 0.7500  4 Mo 2.83
Mo 0.0000 0.0000 0.0000  4 Ac 2.83, 4 Ir 2.83

---

Here is a relaxed structure of SmTmHg4 from the Open Quantum Materials Database. Energies are from GGA-PBE.

The space group is P2/m (10). The calculated formation energy is -0.38 eV/atom.

Cell: 3.3988 4.9435 8.5895 Å, 90.00 90.01 90.00°
With the nearest neighbours (Å) after each atom.
Sites, in units of the cell vectors:
Hg 0.4975 0.5000 0.1698  3 Hg 2.85-2.92
Hg 0.5029 0.0000 0.3358  3 Hg 2.82-2.85
Hg 0.4971 0.0000 0.6642  3 Hg 2.82-2.85
Hg 0.5025 0.5000 0.8302  3 Hg 2.85-2.92
Sm 0.0000 0.0000 0.0000  12 Hg 3.33-3.35, 2 Sm 3.40
Tm 0.0000 0.5000 0.5000  12 Hg 3.30-3.32, 2 Tm 3.40

---

Here is a relaxed structure of NbInO3 from the Open Quantum Materials Database. Energies are from GGA-PBE.

The value obtained for the total energy is -7.51 eV/atom. The space group is R-3 (148).

Cell: 5.4482 5.4482 6.7888 Å, 66.34 66.34 60.00°
With the nearest neighbours (Å) after each atom.
Sites, in units of the cell vectors:
In 0.6373 0.6373 0.0882  3 O 2.57
In 0.3627 0.3627 0.9118  3 O 2.57
Nb 0.8451 0.8451 0.4646  6 O 1.93-2.13
Nb 0.1549 0.1549 0.5354  6 O 1.93-2.13
O 0.9720 0.5573 0.3078  2 Nb 1.93-2.13
O 0.1628 0.9720 0.3078  2 Nb 1.93-2.13
O 0.5573 0.1628 0.3078  2 Nb 1.93-2.13
O 0.4427 0.8372 0.6922  2 Nb 1.93-2.13
O 0.8372 0.0280 0.6922  2 Nb 1.93-2.13
O 0.0280 0.4427 0.6922  2 Nb 1.93-2.13

---

Here is a relaxed structure of La2TmPbC from the Open Quantum Materials Database. Energies are from GGA-PBE.

The value obtained for the total energy is -5.89 eV/atom. The space group is P4/mmm (123).

Cell: 5.2422 5.2422 4.8874 Å, 90.00 90.00 90.00°
With the nearest neighbours (Å) after each atom.
Sites, in units of the cell vectors:
C 0.5000 0.5000 0.5000  2 Tm 2.44, 4 La 2.62
La 0.5000 0.0000 0.5000  2 C 2.62
La 0.0000 0.5000 0.5000  2 C 2.62
Pb 0.0000 0.0000 0.0000  8 La 3.58, 4 Tm 3.71
Tm 0.5000 0.5000 0.0000  2 C 2.44

---

Here is a relaxed structure of LuCdNO from the Open Quantum Materials Database. Energies are from GGA-PBE.

Its energy above the most stable polymorph in this dataset is 0 kJ/mol of formula units. The space group is P4/nmm (129).

Cell: 4.7920 4.7920 4.5712 Å, 90.00 90.00 90.00°
With the nearest neighbours (Å) after each atom.
Sites, in units of the cell vectors:
Cd 0.2500 0.2500 0.0019  2 N 2.28-2.29, 4 O 2.40
Cd 0.7500 0.7500 0.9981  2 N 2.28-2.29, 4 O 2.40
Lu 0.7500 0.2500 0.5000  2 O 2.29, 4 N 2.40
Lu 0.2500 0.7500 0.5000  2 O 2.29, 4 N 2.40
N 0.7500 0.7500 0.4984  2 Cd 2.28-2.29, 4 Lu 2.40
N 0.2500 0.2500 0.5016  2 Cd 2.28-2.29, 4 Lu 2.40
O 0.7500 0.2500 0.0000  2 Lu 2.29, 4 Cd 2.40
O 0.2500 0.7500 0.0000  2 Lu 2.29, 4 Cd 2.40

---

Here is a relaxed structure of BaScCdAu from the Open Quantum Materials Database. Energies are from GGA-PBE.

Its energy above the most stable polymorph in this dataset is 0 kJ/mol of formula units. The space group is F-43m (216).

Cell: 5.3862 5.3862 5.3862 Å, 60.00 60.00 60.00°
With the nearest neighbours (Å) after each atom.
Sites, in units of the cell vectors:
Au 0.7500 0.7500 0.7500  4 Ba 3.30, 4 Sc 3.30
Ba 0.0000 0.0000 0.0000  4 Cd 3.30, 4 Au 3.30
Cd 0.2500 0.2500 0.2500  4 Ba 3.30, 4 Sc 3.30
Sc 0.5000 0.5000 0.5000  4 Cd 3.30, 4 Au 3.30